Material: Sr2LaPt
Method: DFT, PBE-GGA
State: optimized geometry

Cell: 4.0356 4.2927 18.1467 Å, 90.00 90.00 90.00°
Space group Amm2 (No. 38)
One atom of each set of equivalent atoms:
Sr 0.0000 0.0000 0.0000 (multiplicity 2)
Sr 0.5000 0.0000 0.3241 (multiplicity 2)
La 0.0000 0.0000 0.6716 (multiplicity 2)
Pt 0.5000 0.0000 0.1481 (multiplicity 2)

Calculated values
Its energy is -33.13 eV for the cell shown. The calculation puts the energy relative to the lowest polymorph listed for this composition at 4.68 kJ per mole of atoms. The calculation puts the energy relative to the elements at -0.558 eV per atom. The density comes out at 5.4 g/cm3.